Sm2Tm5Fe2 (GGA-PBE, relaxed); space-group type = No. 64; N(E_F) = 12.59 states/eV/f.u.; raw total energy = -48.599 eV per formula unit
1.0
6.530 0.000 2.370
0.000 6.922 0.000
-0.119 0.000 10.506
Sm Tm Fe
4 10 4
Cartesian
1.450 0.000 6.183
4.715 3.461 7.368
4.960 0.000 6.693
1.696 3.461 5.508
0.000 0.000 0.000
3.265 3.461 1.185
2.677 1.235 9.298
5.041 5.687 10.156
1.776 4.696 8.971
5.942 2.226 10.483
3.734 5.687 3.578
1.370 1.235 2.720
4.635 2.226 3.905
0.469 4.696 2.393
0.723 2.719 0.262
5.807 4.203 2.108
2.542 6.180 0.923
3.987 0.742 1.447